No. 1
Compound: Pr2Sc3Si4
Source: Alexandria
Functional: PBE
Structure: relaxed

Output
ΔE_f (raw): -0.792 eV/atom
VASP energy: -6.375 eV per atom
E above lowest polymorph: 0.03 eV per formula unit
SG: No. 14

Lattice parameters (Å, degrees): 7.2335 7.5081 7.5343 90.00 90.00 108.05
Atoms (fractional coordinates):
Pr  0.5739  0.1940  0.3283
Pr  0.9261  0.8060  0.8283
Pr  0.4261  0.8060  0.6717
Pr  0.0739  0.1940  0.1717
Sc  0.0000  0.5000  0.5000
Sc  0.5000  0.5000  0.0000
Sc  0.7511  0.2512  0.8225
Sc  0.7489  0.7488  0.3225
Sc  0.2489  0.7488  0.1775
Sc  0.2511  0.2512  0.6775
Si  0.8741  0.0787  0.5376
Si  0.6259  0.9213  0.0376
Si  0.1259  0.9213  0.4624
Si  0.3741  0.0787  0.9624
Si  0.8729  0.4980  0.1204
Si  0.6271  0.5020  0.6204
Si  0.1271  0.5020  0.8796
Si  0.3729  0.4980  0.3796

---

No. 2
Compound: Sm8Y2Cd
Source: Alexandria
Functional: PBE
Structure: relaxed

Output
VASP energy: -4.570 eV per atom
E above lowest polymorph: 1.50 eV per formula unit
SG: No. 12
ΔE_f: 0.12 eV per atom

Lattice parameters (Å, degrees): 7.1677 8.3217 8.3217 47.83 77.44 77.44
Atoms (fractional coordinates):
Sm  0.2979  0.3491  0.8109
Sm  0.7021  0.1891  0.6509
Sm  0.9919  0.7820  0.7820
Sm  0.0081  0.2180  0.2180
Sm  0.2979  0.8109  0.3491
Sm  0.7021  0.6509  0.1891
Sm  0.8055  0.6068  0.6068
Sm  0.1945  0.3932  0.3932
Y  0.4376  0.8066  0.8066
Y  0.5624  0.1934  0.1934
Cd  0.0000  0.0000  0.0000

---

No. 3
Compound: YGa3Ru
Source: Alexandria
Functional: PBE
Structure: relaxed

Output
VASP energy: -3.503 eV per atom
E above lowest polymorph: 10.25 eV per formula unit
SG: No. 221
ΔE_f: 1.46 eV per atom

Lattice parameters (Å, degrees): 5.2842 5.2842 5.2842 90.00 90.00 90.00
Last column: magnetic moment on the atom in μB.
Atoms (fractional coordinates):
Y  0.0000  0.0000  0.0000  -0.06
Ru  0.5000  0.5000  0.5000  2.46
Ga  0.0000  0.5000  0.0000  -0.04
Ga  0.0000  0.0000  0.5000  -0.01
Ga  0.5000  0.0000  0.0000  0.01

---

Look up the E above lowest polymorph of the second one. 1.50 eV per formula unit

---

Copy entry 3 word for word.
Compound: YGa3Ru
Source: Alexandria
Functional: PBE
Structure: relaxed

Output
VASP energy: -3.503 eV per atom
E above lowest polymorph: 10.25 eV per formula unit
SG: No. 221
ΔE_f: 1.46 eV per atom

Lattice parameters (Å, degrees): 5.2842 5.2842 5.2842 90.00 90.00 90.00
Last column: magnetic moment on the atom in μB.
Atoms (fractional coordinates):
Y  0.0000  0.0000  0.0000  -0.06
Ru  0.5000  0.5000  0.5000  2.46
Ga  0.0000  0.5000  0.0000  -0.04
Ga  0.0000  0.0000  0.5000  -0.01
Ga  0.5000  0.0000  0.0000  0.01

---

Number 3 is which compound? YGa3Ru